1.
A plane-wave DFT calculation with PBE-GGA was carried out for a relaxed NiRu2Rh crystal.

Summary:
- SG: Pmm2, No. 25
- Formation enthalpy at 0 K: 69 meV/atom

Lattice parameters (Å, degrees): 2.689 3.741 5.306 90.00 90.00 90.00
Fractional coordinates of all 4 atoms:
Ni 0.000 0.000 0.000
Ru 0.000 0.000 0.510
Ru 0.500 0.500 0.754
Rh 0.500 0.500 0.243

=====

2.
A plane-wave DFT calculation with PBE-GGA was carried out for a relaxed Zr2GeTe crystal.

Summary:
- Formation energy (no corrections): -3.1 eV per formula unit
- SG: R-3m, No. 166

Lattice parameters (Å, degrees): 7.126 7.126 7.126 32.52 32.52 32.52
Fractional coordinates of all 4 atoms:
Zr 0.235 0.235 0.235
Zr 0.765 0.765 0.765
Ge 0.500 0.500 0.500
Te 0.000 0.000 0.000

=====

Number 1: DOS(E_F) 5.4 states/eV per cell, relative energy among the computed polymorphs 0.000 eV/atom. Number 2: DOS(E_F) 2.2 states/eV per cell, relative energy among the computed polymorphs 0.078 eV/atom.